No. 1
HfCuIr2Pb, optimized geometry, DFT PBE; SG = P4/mmm; raw total energy = -6.335 eV/atom
1.0
-0.8970 -3.1329 -3.2911
1.5133 -3.3875 2.8121
-4.2872 -0.5280 1.6711
Pb Ir Hf Cu
1 2 1 1
direct
0.5000 0.5000 0.5000
0.0000 0.0000 0.5000
0.5000 0.0000 0.0000
0.0000 0.5000 0.0000
0.0000 0.0000 0.0000

No. 2
HfCuIrPt, optimized geometry, DFT PBE; SG = Pmmm; raw total energy = -8.004 eV/atom
1.0
3.7428 0.0000 0.0000
0.0000 3.9990 0.0000
0.0000 0.0000 4.1283
Hf Cu Ir Pt
1 1 1 1
direct
0.0000 0.0000 0.0000
0.0000 0.5000 0.5000
0.5000 0.5000 0.0000
0.5000 0.0000 0.5000

> Look up the raw total energy of the second one.

-8.004 eV/atom

> Among the records above, which one has the lowest raw total energy?

HfCuIrPt

> Which value of raw total energy does entry 2 give?

-8.004 eV/atom

> Look up the raw total energy of the second one.

-8.004 eV/atom